# 1
BePtSeN2 | the Alexandria database | GGA-PBE | optimized geometry; uncorrected formation energy = 1.18 eV per atom; offset from the most stable computed form = 21.0 meV per atom
1.0
3.4368 0.0000 0.0000
0.0000 3.4368 0.0000
0.0000 0.0000 7.2176
Be Se Pt N
1 1 1 2
Direct
0.0000 0.0000 0.0000
0.0000 0.0000 0.5000
0.5000 0.5000 0.5000
0.0000 0.5000 0.0000
0.5000 0.0000 0.0000

# 2
SmBePtN | the Alexandria database | GGA-PBE | optimized geometry; uncorrected formation energy = -1.18 eV per atom
1.0
3.8149 0.0000 0.0000
0.0000 3.8149 0.0000
0.0000 0.0000 8.0204
Sm Be Pt N
2 2 2 2
Direct
0.0000 0.5000 0.8432
0.5000 0.0000 0.1568
0.0000 0.5000 0.3358
0.5000 0.0000 0.6642
0.0000 0.0000 0.5000
0.5000 0.5000 0.5000
0.5000 0.0000 0.8661
0.0000 0.5000 0.1339

# 3
Sr2BePtN | the Alexandria database | GGA-PBE | optimized geometry; uncorrected formation energy = -0.63 eV per atom
1.0
-0.9195 -1.1586 -5.2464
3.5831 -4.0984 0.2771
-2.3960 -2.0360 0.8695
Sr Be Pt N
2 1 1 1
Direct
0.0000 0.5000 0.0000
0.5000 0.0000 0.0000
0.0000 0.0000 0.5000
0.5000 0.5000 0.5000
0.0000 0.0000 0.0000

# 4
Ta2BePtN | the Alexandria database | GGA-PBE | optimized geometry; uncorrected formation energy = -0.56 eV per atom
1.0
4.2719 0.0000 0.0000
0.0000 4.2719 0.0000
0.0000 0.0000 3.6292
Be N Pt Ta
1 1 1 2
Direct
0.0000 0.0000 0.5000
0.0000 0.0000 0.0000
0.5000 0.5000 0.5000
0.0000 0.5000 0.0000
0.5000 0.0000 0.0000

# 5
TbBePtN | the Alexandria database | GGA-PBE | optimized geometry; uncorrected formation energy = -1.21 eV per atom
1.0
3.7744 0.0000 0.0000
0.0000 3.7744 0.0000
0.0000 0.0000 7.9617
Tb Be Pt N
2 2 2 2
Direct
0.0000 0.5000 0.8458
0.5000 0.0000 0.1542
0.0000 0.5000 0.3330
0.5000 0.0000 0.6670
0.0000 0.0000 0.5000
0.5000 0.5000 0.5000
0.5000 0.0000 0.8700
0.0000 0.5000 0.1300

# 6
BeTePtN2 | the Alexandria database | GGA-PBE | optimized geometry; uncorrected formation energy = 1.17 eV per atom; offset from the most stable computed form = 0.0 meV per atom
1.0
-1.5075 0.8499 3.2871
1.9299 -2.7445 1.5946
6.8666 5.7886 1.6524
Be Te Pt N
1 1 1 2
Direct
0.5000 0.5000 0.5000
0.0000 0.0000 0.5000
0.0000 0.0000 0.0000
0.0000 0.5000 0.0000
0.5000 0.0000 0.0000

# 7
BeTePtN2 | the Alexandria database | GGA-PBE | optimized geometry; uncorrected formation energy = 1.29 eV per atom; offset from the most stable computed form = 117.0 meV per atom
1.0
3.6027 0.0000 0.0000
0.0000 3.6027 0.0000
0.0000 0.0000 6.7796
Be Te Pt N
1 1 1 2
Direct
0.0000 0.0000 0.0000
0.0000 0.0000 0.5000
0.5000 0.5000 0.5000
0.0000 0.5000 0.0000
0.5000 0.0000 0.0000

# 8
BeTlPt2N | the Alexandria database | GGA-PBE | optimized geometry; uncorrected formation energy = 1.17 eV per atom
1.0
-3.0072 2.8994 -0.4319
-3.2803 -3.5861 -1.2341
-1.0225 -0.4576 4.0474
Be Tl Pt N
1 1 2 1
Direct
0.0000 0.0000 0.0000
0.0000 0.5000 0.0000
0.0000 0.0000 0.5000
0.5000 0.0000 0.0000
0.5000 0.5000 0.5000

| no. | magnetic moment (Bohr magnetons per cell) | calculated total energy (eV/atom) |
| --- | --- | --- |
| 1 | 1.9 | -4.796 |
| 2 | 0.0 | -6.886 |
| 3 | 0.0 | -4.919 |
| 4 | 0.0 | -8.916 |
| 5 | 0.0 | -6.891 |
| 6 | 0.0 | -4.738 |
| 7 | 2.0 | -4.621 |
| 8 | 2.3 | -4.125 |